Entry 1:
# Pr5Te2Os2 (PBE-GGA, optimized geometry)
# Calculated density = 8.4 g/cm³
# DFT total energy = -6.49 eV per atom
# ΔE_f (raw) = -0.645 eV per atom
# Density of states at the Fermi level = 24.52 states/eV/cell
data_Pr5Te2Os2
_symmetry_space_group_name_H-M 'C m c e'
_symmetry_Int_Tables_number 64
_symmetry_space_group_name_Hall '-C 2ac 2'
_cell_length_a 16.247
_cell_length_b 8.115
_cell_length_c 8.038
_cell_angle_alpha 90.00
_cell_angle_beta 90.00
_cell_angle_gamma 90.00
loop_
_atom_site_label
_atom_site_type_symbol
_atom_site_fract_x
_atom_site_fract_y
_atom_site_fract_z
Pr1 Pr 0.000 0.000 0.000
Pr2 Pr 0.121 0.177 0.325
Te1 Te 0.209 0.000 0.000
Os1 Os 0.000 0.110 0.608



Entry 2:
# La6GeC (PBE-GGA, optimized geometry)
# Calculated density = 5.8 g/cm³
# DFT total energy = -5.58 eV per atom
# ΔE_f = -0.150 eV/atom
# Density of states at the Fermi level = 10.70 states/eV/cell
data_La6GeC
_symmetry_space_group_name_H-M 'P -1'
_symmetry_Int_Tables_number 2
_symmetry_space_group_name_Hall '-P 1'
_cell_length_a 6.602
_cell_length_b 6.699
_cell_length_c 7.457
_cell_angle_alpha 63.98
_cell_angle_beta 88.95
_cell_angle_gamma 64.37
loop_
_atom_site_label
_atom_site_type_symbol
_atom_site_fract_x
_atom_site_fract_y
_atom_site_fract_z
La1 La 0.048 0.174 0.237
La2 La 0.229 0.189 0.771
La3 La 0.367 0.560 0.221
Ge1 Ge 0.500 0.000 0.500
C1 C 0.000 0.000 0.000